This record from the Alexandria database describes crystalline Ac2SnN3 at its relaxed geometry. The functional is PBE.

The structure belongs to space group C2/c (No. 15); the cell edges are 5.859, 11.941 and 12.856 Å and the angles 90.00°, 93.65° and 90.00°. The distinct sites, in fractional coordinates, are Ac at (0.222, 0.199, 0.354), Ac at (0.228, 0.113, 0.926), Sn at (0.199, 0.498, 0.830), N at (0.000, 0.018, 0.250), N at (0.000, 0.352, 0.250), N at (0.208, 0.318, 0.886) and N at (0.225, 0.099, 0.534).

The value obtained for the total magnetic moment is 0.00 μB/atom. The crystal system is monoclinic. The value obtained for the energy relative to the elements, uncorrected is -373 kJ/mol of formula units.